Here is a crystal of ZrIrW2 relaxed with PBEsol from Alexandria. Energies are from meta-GGA SCAN.

Unit cell a=4.984 b=4.984 c=5.026 alpha=99.07 beta=99.07 gamma=32.56
Fractional coordinates of all 4 atoms:
Zr: 0.000 0.000 0.000
Ir: 0.748 0.748 0.184
W: 0.219 0.219 0.678
W: 0.462 0.462 0.487

Computed properties:
For the total magnetization, the calculation gives 0.000 μB/atom. Its raw total energy is -60.2589 eV per atom. The energy relative to the elements comes out at 35 meV/atom. Its density of states at the Fermi level is 2.2 states/eV/f.u.

Here is a crystal of LiCaAl2 relaxed with PBEsol from Alexandria. Energies are from meta-GGA SCAN.

Unit cell a=5.891 b=5.891 c=5.891 alpha=44.30 beta=44.30 gamma=44.30
Fractional coordinates of all 4 atoms:
Li: 0.000 0.000 0.000
Ca: 0.500 0.500 0.500
Al: 0.300 0.300 0.300
Al: 0.700 0.700 0.700

Computed properties:
For the total magnetization, the calculation gives 0.000 μB/atom. Its raw total energy is -7.0553 eV per atom. The energy relative to the elements comes out at -166 meV/atom. Its density of states at the Fermi level is 2.2 states/eV/f.u.

Here is a crystal of Li2CuNi relaxed with PBEsol from Alexandria. Energies are from meta-GGA SCAN.

Unit cell a=8.568 b=8.568 c=8.568 alpha=16.80 beta=16.80 gamma=16.80
Fractional coordinates of all 4 atoms:
Li: 0.247 0.247 0.247
Li: 0.753 0.753 0.753
Cu: 0.000 0.000 0.000
Ni: 0.500 0.500 0.500

Computed properties:
For the total magnetization, the calculation gives 0.061 μB/atom. Its raw total energy is -9.0301 eV per atom. The energy relative to the elements comes out at 8 meV/atom. Its density of states at the Fermi level is 1.9 states/eV/f.u.

Here is a crystal of CaSc4Cd relaxed with PBEsol from Alexandria. Energies are from meta-GGA SCAN.

Unit cell a=5.989 b=5.989 c=5.989 alpha=60.00 beta=60.00 gamma=60.00
Fractional coordinates of all 6 atoms:
Ca: 0.000 0.000 0.000
Sc: 0.376 0.376 0.376
Sc: 0.376 0.376 0.872
Sc: 0.376 0.872 0.376
Sc: 0.872 0.376 0.376
Cd: 0.750 0.750 0.750

Computed properties:
For the total magnetization, the calculation gives 0.000 μB/atom. Its raw total energy is -15.9641 eV per atom. The energy relative to the elements comes out at 207 meV/atom. Its density of states at the Fermi level is 6.4 states/eV/f.u.

Here is a crystal of SrZn2Ag relaxed with PBEsol from Alexandria. Energies are from meta-GGA SCAN.

Unit cell a=5.942 b=5.942 c=5.942 alpha=43.77 beta=43.77 gamma=43.77
Fractional coordinates of all 4 atoms:
Sr: 0.000 0.000 0.000
Zn: 0.196 0.196 0.196
Zn: 0.505 0.505 0.505
Ag: 0.804 0.804 0.804

Computed properties:
For the total magnetization, the calculation gives 0.000 μB/atom. Its raw total energy is -20.4140 eV per atom. The energy relative to the elements comes out at -246 meV/atom. Its density of states at the Fermi level is 1.9 states/eV/f.u.

Here is a crystal of CaAgAu4 relaxed with PBEsol from Alexandria. Energies are from meta-GGA SCAN.

Unit cell a=5.454 b=5.454 c=5.454 alpha=60.00 beta=60.00 gamma=60.00
Fractional coordinates of all 6 atoms:
Ca: 0.000 0.000 0.000
Ag: 0.750 0.750 0.750
Au: 0.375 0.375 0.375
Au: 0.375 0.375 0.874
Au: 0.375 0.874 0.375
Au: 0.874 0.375 0.375

Computed properties:
For the total magnetization, the calculation gives 0.000 μB/atom. Its raw total energy is -53.4337 eV per atom. The energy relative to the elements comes out at -491 meV/atom. Its density of states at the Fermi level is 1.6 states/eV/f.u.